# 1
This record from Alexandria describes an optimized crystal structure of ReTc2Se. The functional is PBE-GGA.

The space group is Immm (No. 71) and the conventional cell measures 2.973, 4.452 and 8.899 Å, with angles of 90.00, 90.00 and 90.00 degrees. The distinct sites, in fractional coordinates, are Re at (0.000, 0.000, 0.000), Tc at (0.000, 0.500, 0.227) and Se at (0.000, 0.000, 0.500).

As for the theoretical density: 13.0 g cm⁻³.

# 2
This record from Alexandria describes an optimized crystal structure of ReTcSe2. The functional is PBE-GGA.

The space group is Cm (No. 8) and the conventional cell measures 9.049, 3.053 and 5.799 Å, with angles of 90.00, 97.81 and 90.00 degrees. The distinct sites, in fractional coordinates, are Re at (0.000, 0.000, 0.000), Tc at (0.234, 0.500, 0.147), Se at (0.268, 0.000, 0.812) and Se at (0.478, 0.000, 0.337).

As for the theoretical density: 9.3 g cm⁻³. The energy above the most stable polymorph in this dataset comes out at 0.3825 eV/atom.

# 3
This record from Alexandria describes an optimized crystal structure of ReTc2Se. The functional is PBE-GGA.

The space group is Pmm2 (No. 25) and the conventional cell measures 2.924, 3.961 and 5.310 Å, with angles of 90.00, 90.00 and 90.00 degrees. The distinct sites, in fractional coordinates, are Re at (0.000, 0.000, 0.000), Tc at (0.000, 0.000, 0.490), Tc at (0.500, 0.500, 0.817) and Se at (0.500, 0.500, 0.316).

As for the theoretical density: 12.5 g cm⁻³.

# 4
This record from Alexandria describes an optimized crystal structure of ReTcSe2. The functional is PBE-GGA.

The space group is P4mm (No. 99) and the conventional cell measures 2.974, 2.974 and 8.393 Å, with angles of 90.00, 90.00 and 90.00 degrees. The distinct sites, in fractional coordinates, are Re at (0.000, 0.000, 0.000), Tc at (0.500, 0.500, 0.769), Se at (0.000, 0.000, 0.595) and Se at (0.500, 0.500, 0.177).

As for the theoretical density: 9.9 g cm⁻³. The energy above the most stable polymorph in this dataset comes out at 0.0000 eV/atom.

# 5
This record from Alexandria describes an optimized crystal structure of ReTcSe2. The functional is PBE-GGA.

The space group is Fm-3m (No. 225) and the conventional cell measures 6.237, 6.237 and 6.237 Å, with angles of 90.00, 90.00 and 90.00 degrees. The distinct sites, in fractional coordinates, are Re at (0.000, 0.000, 0.000), Tc at (0.000, 0.000, 0.500) and Se at (0.250, 0.250, 0.250).

As for the theoretical density: 12.1 g cm⁻³. The energy above the most stable polymorph in this dataset comes out at 0.4831 eV/atom.

# 6
This record from Alexandria describes an optimized crystal structure of ReTc2Se. The functional is PBE-GGA.

The space group is I-42d (No. 122) and the conventional cell measures 5.588, 5.588 and 11.070 Å, with angles of 90.00, 90.00 and 90.00 degrees. The distinct sites, in fractional coordinates, are Re at (0.000, 0.000, 0.000), Tc at (0.248, 0.250, 0.125) and Se at (0.000, 0.000, 0.500).

As for the theoretical density: 8.9 g cm⁻³.

# 7
This record from Alexandria describes an optimized crystal structure of ReTc2Se. The functional is PBE-GGA.

The space group is Pmmm (No. 47) and the conventional cell measures 2.931, 3.950 and 5.253 Å, with angles of 90.00, 90.00 and 90.00 degrees. The distinct sites, in fractional coordinates, are Re at (0.000, 0.000, 0.000), Tc at (0.500, 0.500, 0.242) and Se at (0.000, 0.000, 0.500).

As for the theoretical density: 12.6 g cm⁻³.

# 8
This record from Alexandria describes an optimized crystal structure of ReTcSe2. The functional is PBE-GGA.

The space group is P4/mmm (No. 123) and the conventional cell measures 3.116, 3.116 and 6.233 Å, with angles of 90.00, 90.00 and 90.00 degrees. The distinct sites, in fractional coordinates, are Re at (0.000, 0.000, 0.000), Tc at (0.000, 0.000, 0.500) and Se at (0.500, 0.500, 0.251).

As for the theoretical density: 12.1 g cm⁻³. The energy above the most stable polymorph in this dataset comes out at 0.4832 eV/atom.

# 9
This record from Alexandria describes an optimized crystal structure of ReTcSe2. The functional is PBE-GGA.

The space group is Pmm2 (No. 25) and the conventional cell measures 2.986, 3.920 and 6.682 Å, with angles of 90.00, 90.00 and 90.00 degrees. The distinct sites, in fractional coordinates, are Re at (0.000, 0.000, 0.000), Tc at (0.500, 0.500, 0.823), Se at (0.000, 0.000, 0.640) and Se at (0.500, 0.500, 0.183).

As for the theoretical density: 9.4 g cm⁻³. The energy above the most stable polymorph in this dataset comes out at 0.2260 eV/atom.

# 10
This record from Alexandria describes an optimized crystal structure of ReTc2Se. The functional is PBE-GGA.

The space group is R3m (No. 160, hexagonal axes) and the conventional cell measures 2.8697, 2.8697 and 25.3318 Å, with angles of 90.00, 90.00 and 120.00 degrees. The distinct sites, in fractional coordinates, are Re at (0.0000, 0.0000, 0.0000), Tc at (0.0000, 0.0000, 0.2488), Tc at (0.0000, 0.0000, 0.4977) and Se at (0.0000, 0.0000, 0.7499).

As for the theoretical density: 12.7 g cm⁻³.

# 11
This record from Alexandria describes an optimized crystal structure of ReTcSe2. The functional is PBE-GGA.

The space group is R-3m (No. 166, hexagonal axes) and the conventional cell measures 3.0717, 3.0717 and 25.0776 Å, with angles of 90.00, 90.00 and 120.00 degrees. The distinct sites, in fractional coordinates, are Re at (0.0000, 0.0000, 0.0000), Tc at (0.0000, 0.0000, 0.5000) and Se at (0.0000, 0.0000, 0.0946).

As for the theoretical density: 10.7 g cm⁻³. The energy above the most stable polymorph in this dataset comes out at 0.4417 eV/atom.

# 12
This record from Alexandria describes an optimized crystal structure of ReTc2Se5. The functional is PBE-GGA.

The space group is Cm (No. 8) and the conventional cell measures 11.552, 7.147 and 5.726 Å, with angles of 90.00, 112.59 and 90.00 degrees. The distinct sites, in fractional coordinates, are Re at (0.000, 0.000, 0.000), Tc at (0.381, 0.000, 0.906), Tc at (0.489, 0.500, 0.498), Se at (0.004, 0.271, 0.254), Se at (0.174, 0.000, 0.873) and Se at (0.348, 0.291, 0.655).

As for the theoretical density: 5.9 g cm⁻³.

Number 1: VASP energy -71.03 eV/cell. Number 2: VASP energy -56.99 eV/cell. Number 3: VASP energy -35.16 eV/cell. Number 4: VASP energy -30.02 eV/cell. Number 5: VASP energy -112.36 eV/cell. Number 6: VASP energy -135.05 eV/cell. Number 7: VASP energy -35.18 eV/cell. Number 8: VASP energy -28.09 eV/cell. Number 9: VASP energy -29.12 eV/cell. Number 10: VASP energy -106.98 eV/cell. Number 11: VASP energy -84.77 eV/cell. Number 12: VASP energy -99.70 eV/cell.